First-principles (GGA+U) data for ThMn2CrO6 after structural relaxation, as listed in Alexandria.

- VASP energy (eV per atom) = -8.074

Lattice parameters (Å, degrees): 5.446 5.446 5.652 61.33 61.82 60.03
Space group P1 (No. 1)
One atom of each set of equivalent atoms:
1 Th 0.000 0.000 0.000 [1 per cell]
2 Mn 0.283 0.295 0.142 [1 per cell]
3 Mn 0.781 0.788 0.651 [1 per cell]
4 Cr 0.482 0.491 0.543 [1 per cell]
5 O 0.097 0.425 0.848 [1 per cell]
6 O 0.199 0.900 0.346 [1 per cell]
7 O 0.422 0.646 0.837 [1 per cell]
8 O 0.545 0.211 0.345 [1 per cell]
9 O 0.633 0.103 0.844 [1 per cell]
10 O 0.891 0.558 0.348 [1 per cell]